The following is a DFT calculation (PBE) of YAsW2 after structural relaxation.

Unit cell a=3.2810 b=3.2810 c=7.0949 alpha=90.00 beta=90.00 gamma=90.00
Space group P4mm (No. 99)
Unique sites:
Y 0.0000 0.0000 0.0000
As 0.5000 0.5000 0.3043
W 0.0000 0.0000 0.5025
W 0.5000 0.5000 0.7032

electronic total energy	-37.0	eV per cell
size of the total moment	0.000	μB per atom
formation energy from the elements	0.0	eV per formula unit
calculated density	11.56	g/cm3